The following is a GGA-PBE calculation of crystalline Au4C3 at its relaxed geometry, from the Open Quantum Materials Database.

Calculated values
- Total DFT energy (no corrections): -4.0232 eV per atom

abc: 10.3415 10.3415 10.3415
angles: 18.33 18.33 18.33
With the nearest neighbours (Å) after each atom.
Sites, in units of the cell vectors:
1 Au 0.1318 0.1318 0.1318  3 C 2.29
2 Au 0.2890 0.2890 0.2890  6 C 2.33-2.36
3 Au 0.7110 0.7110 0.7110  6 C 2.33-2.36
4 Au 0.8682 0.8682 0.8682  3 C 2.29
5 C 0.0000 0.0000 0.0000  6 Au 2.33
6 C 0.4233 0.4233 0.4233  6 Au 2.29-2.36
7 C 0.5767 0.5767 0.5767  6 Au 2.29-2.36

---

The following is a GGA-PBE calculation of crystalline AuC at its relaxed geometry, from the Open Quantum Materials Database.

Calculated values
- Offset from the most stable computed form: 0.208 eV per atom

abc: 3.3005 3.3005 3.3005
angles: 60.00 60.00 60.00
With the nearest neighbours (Å) after each atom.
Sites, in units of the cell vectors:
1 Au 0.0000 0.0000 0.0000  6 C 2.33
2 C 0.5000 0.5000 0.5000  6 Au 2.33

---

The following is a GGA-PBE calculation of crystalline Au2C at its relaxed geometry, from the Open Quantum Materials Database.

Calculated values
- Offset from the most stable computed form: 0.000 eV per atom

abc: 6.5790 6.5790 6.5790
angles: 60.00 60.00 60.00
With the nearest neighbours (Å) after each atom.
Sites, in units of the cell vectors:
1 Au 0.0000 0.0000 0.0000  2 C 2.01
2 Au 0.0000 0.0000 0.5000  2 C 2.01
3 Au 0.0000 0.5000 0.0000  2 C 2.01
4 Au 0.5000 0.0000 0.0000  2 C 2.01
5 C 0.1250 0.1250 0.1250  4 Au 2.01
6 C 0.8750 0.8750 0.8750  4 Au 2.01

---

The following is a GGA-PBE calculation of crystalline Hf4CdAuC2 at its relaxed geometry, from the Open Quantum Materials Database.

Calculated values
- Total moment: 0.0 Bohr magnetons per cell
- Total DFT energy (no corrections): -8.4448 eV per atom

abc: 3.2887 3.2887 14.6183
angles: 90.00 90.00 120.00
With the nearest neighbours (Å) after each atom.
Sites, in units of the cell vectors:
1 Hf 0.0000 0.0000 0.1549  3 C 2.29
2 Hf 0.0000 0.0000 0.8451  3 C 2.29
3 Hf 0.3333 0.6667 0.3270  3 C 2.26
4 Hf 0.3333 0.6667 0.6730  3 C 2.26
5 Cd 0.0000 0.0000 0.5000  6 Hf 3.16, 6 Cd 3.29
6 Au 0.3333 0.6667 0.0000  6 Hf 2.95, 6 Au 3.29
7 C 0.6667 0.3333 0.2428  6 Hf 2.26-2.29
8 C 0.6667 0.3333 0.7572  6 Hf 2.26-2.29

---

The following is a GGA-PBE calculation of crystalline Sc4CdAuC2 at its relaxed geometry, from the Open Quantum Materials Database.

Calculated values
- Total moment: 0.1 Bohr magnetons per cell
- Total DFT energy (no corrections): -6.5115 eV per atom

abc: 3.3671 3.3671 14.4562
angles: 90.00 90.00 120.00
With the nearest neighbours (Å) after each atom.
Sites, in units of the cell vectors:
1 Sc 0.0000 0.0000 0.1520  3 C 2.28
2 Sc 0.0000 0.0000 0.8480  3 C 2.28
3 Sc 0.6667 0.3333 0.3202  3 C 2.30
4 Sc 0.6667 0.3333 0.6798  3 C 2.30
5 Cd 0.0000 0.0000 0.5000  6 Sc 3.25, 6 Cd 3.37
6 Au 0.6667 0.3333 0.0000  6 Sc 2.93
7 C 0.3333 0.6667 0.2351  6 Sc 2.28-2.30
8 C 0.3333 0.6667 0.7649  6 Sc 2.28-2.30

---

What is the formula in the second record? AuC

---

What is the formula in the fifth record? Sc4CdAuC2